## AlInSb2 (PBE-GGA)

Data for an optimized crystal structure of AlInSb2.

Calculated values
The formation energy without anion corrections is 0.193 eV per atom. The total energy is -0.256 Ry/atom. For the energy above the lowest structure with this stoichiometry, the calculation gives 32.34 kJ/mol of atoms. The calculation puts the magnetic moment at 0.00 μB per formula unit.

Cell lengths 6.5631, 9.9415, 3.2282 Å; angles 90.00, 106.03, 90.00 degrees
With the nearest neighbours (Å) after each atom.
Space group C2/m (No. 12)
One atom of each set of equivalent atoms:
1 Al 0.0000 0.0000 0.0000 (multiplicity 2)  4 Sb 3.16, 2 Al 3.23, 2 In 3.28
2 In 0.0000 0.5000 0.0000 (multiplicity 2)  4 Sb 3.16, 2 In 3.23, 2 Al 3.28
3 Sb 0.2500 0.2500 0.5000 (multiplicity 4)  2 Al 3.16, 2 In 3.16, 4 Sb 3.23-3.28